Density functional theory data (PBE) for crystalline Y4GaHgC at its relaxed geometry.

```
Y4GaHgC
1.0
6.923 0.000 0.000
0.000 6.924 0.000
-3.461 0.000 7.327
Y Ga Hg C
8 2 2 2
Cartesian
3.461 1.731 1.209
0.000 5.193 6.118
1.731 3.462 3.663
1.731 0.000 3.663
3.461 1.731 6.188
-1.731 3.462 3.663
0.000 5.193 1.138
-1.731 0.000 3.663
0.000 1.731 1.837
3.461 5.193 5.489
0.000 1.731 5.584
3.461 5.193 1.743
3.461 1.731 3.675
0.000 5.193 3.651
```

## Properties
The calculation puts the density of states at the Fermi level at 6.30 states/eV/f.u. As for the energy of formation from the pure elements: -39.6 kJ/mol of atoms. The calculation puts the total energy at -82.568 eV/cell.